Na2HfIr after structural relaxation, computed with PBEsol.

Properties
- N(E_F) (states/eV/f.u.) = 1.58
- formation enthalpy at 0 K (eV/atom) = 0.22
- spin magnetization (Bohr magnetons per cell) = 0.00

Unit cell a=3.763 b=3.763 c=22.867 alpha=90.00 beta=90.00 gamma=90.00
Space group I-42d (No. 122)
One atom of each set of equivalent atoms:
Na (0.229, 0.250, 0.125) [8 per cell]
Hf (0.000, 0.000, 0.500) [4 per cell]
Ir (0.000, 0.000, 0.000) [4 per cell]